Entry 1:
Here is an optimized crystal structure of Pm2ScAs from Alexandria via LeMat-Bulk. Energies are from PBE.

Computed properties:
**Calculated volume**: 352.5 Å³ per cell
**N(E_F)**: 5.05 states/eV/f.u.
**ΔE_f**: 0.093 eV per atom

Lattice parameters (Å, degrees): 3.4507 3.4507 34.1862 90.00 90.00 120.00
Closest atoms and distances in Å follow each position.
Element x y z (fractional)
1 Pm 0.0000 0.0000 0.0850  1 As 2.91
2 Pm 0.0000 0.0000 0.9150  1 As 2.91
3 Pm 0.3333 0.6667 0.5817  1 As 2.91
4 Pm 0.3333 0.6667 0.7517  1 As 2.91
5 Pm 0.6667 0.3333 0.2483  1 As 2.91
6 Pm 0.6667 0.3333 0.4183  1 As 2.91
7 Sc 0.0000 0.0000 0.5000  6 Pm 3.43, 6 Sc 3.45
8 Sc 0.3333 0.6667 0.1667  6 Pm 3.43, 6 Sc 3.45
9 Sc 0.6667 0.3333 0.8333  6 Pm 3.43, 6 Sc 3.45
10 As 0.0000 0.0000 0.0000  2 Pm 2.91
11 As 0.3333 0.6667 0.6667  2 Pm 2.91
12 As 0.6667 0.3333 0.3333  2 Pm 2.91

Entry 2:
Here is an optimized crystal structure of Ca5Cu2 from Alexandria via LeMat-Bulk. Energies are from PBE.

Computed properties:
**Calculated volume**: 436.7 Å³ per cell
**N(E_F)**: 5.87 states/eV/f.u.
**ΔE_f**: -0.077 eV per atom

Lattice parameters (Å, degrees): 9.1058 9.1058 7.6658 97.04 97.04 43.87
Closest atoms and distances in Å follow each position.
Element x y z (fractional)
1 Ca 0.0779 0.9221 0.7500  4 Cu 3.07-3.08
2 Ca 0.1348 0.2993 0.3138  3 Cu 3.01-3.26
3 Ca 0.2993 0.1348 0.8138  3 Cu 3.01-3.26
4 Ca 0.3038 0.5112 0.0804  2 Cu 2.96-2.99
5 Ca 0.4888 0.6962 0.4196  2 Cu 2.96-2.99
6 Ca 0.5112 0.3038 0.5804  2 Cu 2.96-2.99
7 Ca 0.6962 0.4888 0.9196  2 Cu 2.96-2.99
8 Ca 0.7007 0.8652 0.1862  3 Cu 3.01-3.26
9 Ca 0.8652 0.7007 0.6862  3 Cu 3.01-3.26
10 Ca 0.9221 0.0779 0.2500  4 Cu 3.07-3.08
11 Cu 0.0928 0.6858 0.4188  7 Ca 2.96-3.26
12 Cu 0.3142 0.9072 0.0812  7 Ca 2.96-3.26
13 Cu 0.6858 0.0928 0.9188  7 Ca 2.96-3.26
14 Cu 0.9072 0.3142 0.5812  7 Ca 2.96-3.26

Entry 3:
Here is an optimized crystal structure of NaMgSc2 from Alexandria via LeMat-Bulk. Energies are from PBE.

Computed properties:
**Calculated volume**: 316.7 Å³ per cell
**N(E_F)**: 6.01 states/eV/f.u.
**ΔE_f**: 0.400 eV per atom

Lattice parameters (Å, degrees): 3.1501 3.1501 36.8515 90.00 90.00 120.00
Closest atoms and distances in Å follow each position.
Element x y z (fractional)
1 Na 0.0000 0.0000 0.0000  6 Na 3.15
2 Na 0.3333 0.6667 0.6667  6 Na 3.15
3 Na 0.6667 0.3333 0.3333  6 Na 3.15
4 Mg 0.0000 0.0000 0.5000  2 Sc 3.07, 6 Mg 3.15
5 Mg 0.3333 0.6667 0.1667  2 Sc 3.07, 6 Mg 3.15
6 Mg 0.6667 0.3333 0.8333  2 Sc 3.07, 6 Mg 3.15
7 Sc 0.0000 0.0000 0.4167  1 Mg 3.07, 6 Sc 3.15
8 Sc 0.0000 0.0000 0.5833  1 Mg 3.07, 6 Sc 3.15
9 Sc 0.3333 0.6667 0.0834  1 Mg 3.07, 6 Sc 3.15
10 Sc 0.3333 0.6667 0.2500  1 Mg 3.07, 6 Sc 3.15
11 Sc 0.6667 0.3333 0.7500  1 Mg 3.07, 6 Sc 3.15
12 Sc 0.6667 0.3333 0.9166  1 Mg 3.07, 6 Sc 3.15

Entry 4:
Here is an optimized crystal structure of SrLa3Os from Alexandria via LeMat-Bulk. Energies are from PBE.

Computed properties:
**Calculated volume**: 354.7 Å³ per cell
**ΔE to the lowest computed polymorph**: 148 meV/atom
**N(E_F)**: 7.13 states/eV/f.u.
**ΔE_f**: 0.064 eV per atom

Lattice parameters (Å, degrees): 8.1396 8.1396 9.9393 105.81 105.81 34.19
Closest atoms and distances in Å follow each position.
Element x y z (fractional)
1 Sr 0.1216 0.1216 0.3912  2 Os 3.33
2 Sr 0.8784 0.8784 0.6088  2 Os 3.33
3 La 0.0832 0.0832 0.9629  1 La 2.89, 4 Os 3.12-3.22
4 La 0.2832 0.2832 0.8240  1 Os 2.63
5 La 0.4198 0.4198 0.2923  1 Os 2.67
6 La 0.5802 0.5802 0.7077  1 Os 2.67
7 La 0.7168 0.7168 0.1760  1 Os 2.63
8 La 0.9168 0.9168 0.0371  1 La 2.89, 4 Os 3.12-3.22
9 Os 0.4556 0.4556 0.8455  2 La 2.63-2.67
10 Os 0.5444 0.5444 0.1545  2 La 2.63-2.67

Entry 5:
Here is an optimized crystal structure of LiErSbS4 from Alexandria via LeMat-Bulk. Energies are from PBE.

Computed properties:
**Calculated volume**: 335.2 Å³ per cell
**Formation energy (no corrections)**: -1095 meV/atom
**N(E_F)**: 2.08 states/eV/f.u.

Lattice parameters (Å, degrees): 7.8158 7.8158 7.8158 121.10 119.80 89.22
Closest atoms and distances in Å follow each position.
Element x y z (fractional)
1 Li 0.3632 0.1132 0.2500  4 S 2.44-2.59
2 Li 0.6368 0.8868 0.7500  4 S 2.44-2.59
3 Er 0.0000 0.5000 0.5000  6 S 2.70-2.73
4 Er 0.5000 0.5000 0.0000  6 S 2.70-2.73
5 Sb 0.0000 0.0000 0.5000  6 S 2.63-2.68
6 Sb 0.0000 0.5000 0.0000  6 S 2.63-2.68
7 S 0.2332 0.7450 0.4882  1 Li 2.59, 2 Sb 2.68, 1 Er 2.73
8 S 0.2363 0.2451 0.5088  1 Li 2.44, 1 Sb 2.63, 2 Er 2.70
9 S 0.2363 0.7275 0.9912  1 Li 2.44, 1 Sb 2.63, 2 Er 2.70
10 S 0.2433 0.2550 0.9882  1 Li 2.59, 2 Sb 2.68, 1 Er 2.73
11 S 0.7567 0.7450 0.0118  1 Li 2.59, 2 Sb 2.68, 1 Er 2.73
12 S 0.7637 0.2725 0.0088  1 Li 2.44, 1 Sb 2.63, 2 Er 2.70
13 S 0.7637 0.7549 0.4912  1 Li 2.44, 1 Sb 2.63, 2 Er 2.70
14 S 0.7668 0.2550 0.5118  1 Li 2.59, 2 Sb 2.68, 1 Er 2.73

Entry 6:
Here is an optimized crystal structure of KPdBr from Alexandria via LeMat-Bulk. Energies are from PBE.

Computed properties:
**Calculated volume**: 332.0 Å³ per cell
**ΔE to the lowest computed polymorph**: 121 meV/atom
**Formation energy (no corrections)**: -590 meV/atom
**N(E_F)**: 0.00 states/eV/f.u.

Lattice parameters (Å, degrees): 4.6304 4.6304 15.4834 90.00 90.00 90.00
Closest atoms and distances in Å follow each position.
Element x y z (fractional)
1 K 0.0000 0.0000 0.0000  6 Pd 3.38-3.56, 6 Br 3.40-3.55
2 K 0.0000 0.5000 0.2500  6 Pd 3.38-3.56, 6 Br 3.40-3.55
3 K 0.5000 0.0000 0.7500  6 Pd 3.38-3.56, 6 Br 3.40-3.55
4 K 0.5000 0.5000 0.5000  6 Pd 3.38-3.56, 6 Br 3.40-3.55
5 Pd 0.0000 0.0000 0.4089  3 Br 2.56-2.79
6 Pd 0.0000 0.5000 0.6589  3 Br 2.56-2.79
7 Pd 0.5000 0.0000 0.1589  3 Br 2.56-2.79
8 Pd 0.5000 0.5000 0.9089  3 Br 2.56-2.79
9 Br 0.0000 0.0000 0.5888  3 Pd 2.56-2.79
10 Br 0.0000 0.5000 0.8388  3 Pd 2.56-2.79
11 Br 0.5000 0.0000 0.3388  3 Pd 2.56-2.79
12 Br 0.5000 0.5000 0.0888  3 Pd 2.56-2.79

Entry 7:
Here is an optimized crystal structure of CeHo2Cd from Alexandria via LeMat-Bulk. Energies are from PBE.

Computed properties:
**Calculated volume**: 347.9 Å³ per cell
**ΔE to the lowest computed polymorph**: 95 meV/atom
**N(E_F)**: 7.45 states/eV/f.u.
**ΔE_f**: -0.014 eV per atom

Lattice parameters (Å, degrees): 3.5126 3.5126 32.5562 90.00 90.00 120.00
Closest atoms and distances in Å follow each position.
Element x y z (fractional)
1 Ce 0.0000 0.0000 0.0000  6 Ce 3.51, 6 Ho 3.53-3.54
2 Ce 0.3333 0.6667 0.6667  6 Ce 3.51, 6 Ho 3.53-3.54
3 Ce 0.6667 0.3333 0.3333  6 Ce 3.51, 6 Ho 3.53-3.54
4 Ho 0.0000 0.0000 0.5777  3 Cd 3.24, 6 Ho 3.51, 3 Ce 3.53
5 Ho 0.0000 0.0000 0.7559  3 Cd 3.24, 6 Ho 3.51, 3 Ce 3.54
6 Ho 0.3333 0.6667 0.2444  3 Cd 3.24, 6 Ho 3.51, 3 Ce 3.53
7 Ho 0.3333 0.6667 0.4226  3 Cd 3.24, 6 Ho 3.51, 3 Ce 3.54
8 Ho 0.6667 0.3333 0.0892  3 Cd 3.24, 6 Ho 3.51, 3 Ce 3.54
9 Ho 0.6667 0.3333 0.9111  3 Cd 3.24, 6 Ho 3.51, 3 Ce 3.53
10 Cd 0.0000 0.0000 0.1667  6 Ho 3.24, 6 Cd 3.51
11 Cd 0.3333 0.6667 0.8333  6 Ho 3.24, 6 Cd 3.51
12 Cd 0.6667 0.3333 0.5000  6 Ho 3.24, 6 Cd 3.51

Entry 8:
Here is an optimized crystal structure of RbTi2I8 from Alexandria via LeMat-Bulk. Energies are from PBE.

Computed properties:
**Calculated volume**: 685.0 Å³ per cell
**ΔE to the lowest computed polymorph**: 3 meV/atom
**Formation energy (no corrections)**: -851 meV/atom
**N(E_F)**: 8.58 states/eV/f.u.

Lattice parameters (Å, degrees): 9.7872 9.7872 7.7598 100.95 100.95 71.42
Closest atoms and distances in Å follow each position.
Element x y z (fractional)
1 Rb 0.0000 0.0000 0.0000  6 I 3.78
2 Ti 0.2059 0.2059 0.6728  4 I 2.58-2.61
3 Ti 0.7941 0.7941 0.3272  4 I 2.58-2.61
4 I 0.0619 0.6905 0.2598  1 Ti 2.61
5 I 0.2132 0.2132 0.3410  1 Ti 2.60
6 I 0.3095 0.9381 0.7402  1 Ti 2.61
7 I 0.3608 0.3608 0.8704  1 Ti 2.58
8 I 0.6392 0.6392 0.1296  1 Ti 2.58
9 I 0.6905 0.0619 0.2598  1 Ti 2.61
10 I 0.7868 0.7868 0.6590  1 Ti 2.60
11 I 0.9381 0.3095 0.7402  1 Ti 2.61

Entry 9:
Here is an optimized crystal structure of Li2HgS2 from Alexandria via LeMat-Bulk. Energies are from PBE.

Computed properties:
**Calculated volume**: 234.4 Å³ per cell
**ΔE to the lowest computed polymorph**: 0 meV/atom
**Formation energy (no corrections)**: -827 meV/atom
**N(E_F)**: 0.00 states/eV/f.u.

Lattice parameters (Å, degrees): 7.3869 7.3869 9.5790 125.91 125.91 34.63
Closest atoms and distances in Å follow each position.
Element x y z (fractional)
1 Li 0.0494 0.0494 0.1889  4 S 2.44-2.59
2 Li 0.3363 0.3363 0.0449  4 S 2.45-2.48
3 Li 0.6637 0.6637 0.9551  4 S 2.45-2.48
4 Li 0.9506 0.9506 0.8111  4 S 2.44-2.59
5 Hg 0.3244 0.3244 0.3925  2 S 2.33-2.37
6 Hg 0.6756 0.6756 0.6075  2 S 2.33-2.37
7 S 0.1766 0.1766 0.0809  1 Hg 2.37, 5 Li 2.46-2.59
8 S 0.4498 0.4498 0.7009  1 Hg 2.33, 3 Li 2.44-2.45
9 S 0.5502 0.5502 0.2991  1 Hg 2.33, 3 Li 2.44-2.45
10 S 0.8234 0.8234 0.9191  1 Hg 2.37, 5 Li 2.46-2.59

Entry 10:
Here is an optimized crystal structure of Cu3Mo12S16 from Alexandria via LeMat-Bulk. Energies are from PBE.

Computed properties:
**Calculated volume**: 550.2 Å³ per cell
**Formation energy (no corrections)**: -612 meV/atom
**N(E_F)**: 20.23 states/eV/f.u.

Lattice parameters (Å, degrees): 6.5270 8.8171 9.6319 89.60 87.74 83.36
Closest atoms and distances in Å follow each position.
Element x y z (fractional)
1 Cu 0.0000 0.0000 0.0000  4 S 2.31-2.47
2 Cu 0.0652 0.2032 0.6894  4 S 2.30-2.54
3 Cu 0.1745 0.5993 0.2941  4 S 2.34-2.42
4 Mo 0.2971 0.5813 0.8269  5 S 2.41-2.50
5 Mo 0.3079 0.0797 0.3251  5 S 2.41-2.49, 1 Mo 2.69
6 Mo 0.4830 0.6707 0.0585  5 S 2.41-2.50
7 Mo 0.4866 0.1756 0.5555  5 S 2.43-2.51, 1 Mo 2.71
8 Mo 0.5362 0.3642 0.9849  5 S 2.42-2.50
9 Mo 0.5460 0.8650 0.4867  5 S 2.42-2.49, 1 Mo 2.67
10 Mo 0.6264 0.7409 0.8006  5 S 2.41-2.50, 1 Mo 2.70
11 Mo 0.6330 0.2404 0.2968  5 S 2.42-2.48, 1 Mo 2.69
12 Mo 0.6815 0.4348 0.7277  5 S 2.40-2.59
13 Mo 0.6887 0.9345 0.2264  5 S 2.42-2.50
14 Mo 0.8668 0.5261 0.9609  5 S 2.40-2.49
15 Mo 0.8679 0.0256 0.4595  5 S 2.44-2.51, 1 Mo 2.67
16 S 0.2099 0.4975 0.0682  1 Cu 2.35, 4 Mo 2.42-2.50
17 S 0.2139 0.9959 0.5628  1 Cu 2.30, 4 Mo 2.42-2.51
18 S 0.2819 0.8475 0.9030  1 Cu 2.32, 3 Mo 2.45-2.50
19 S 0.2948 0.3523 0.3901  1 Cu 2.42, 3 Mo 2.45-2.49
20 S 0.3592 0.3129 0.7727  4 Mo 2.41-2.49, 1 Cu 2.41
21 S 0.3684 0.8097 0.2772  1 Cu 2.36, 4 Mo 2.41-2.50
22 S 0.4675 0.6250 0.6030  4 Mo 2.40-2.48
23 S 0.4716 0.1250 0.1008  4 Mo 2.42-2.48
24 S 0.6976 0.9829 0.6843  4 Mo 2.43-2.49
25 S 0.6990 0.4797 0.1826  4 Mo 2.41-2.50
26 S 0.8035 0.2996 0.5109  4 Mo 2.45-2.47, 1 Cu 2.54
27 S 0.8042 0.7946 0.0096  1 Cu 2.33, 4 Mo 2.40-2.50
28 S 0.8856 0.2521 0.8979  2 Cu 2.30-2.47, 2 Mo 2.48-2.49
29 S 0.8871 0.7582 0.3826  1 Cu 2.34, 3 Mo 2.45-2.49
30 S 0.9514 0.6039 0.7216  4 Mo 2.41-2.50
31 S 0.9634 0.1088 0.2186  1 Cu 2.31, 4 Mo 2.42-2.51

Entry 11:
Here is an optimized crystal structure of GdYCoCu from Alexandria via LeMat-Bulk. Energies are from PBE.

Computed properties:
**Calculated volume**: 322.3 Å³ per cell
**N(E_F)**: 3.56 states/eV/f.u.
**ΔE_f**: -0.160 eV per atom

Lattice parameters (Å, degrees): 6.8560 6.8560 6.8560 90.00 90.00 90.00
Closest atoms and distances in Å follow each position.
Element x y z (fractional)
1 Gd 0.0000 0.0000 0.0000  4 Co 2.97, 4 Cu 2.97
2 Gd 0.0000 0.5000 0.5000  4 Co 2.97, 4 Cu 2.97
3 Gd 0.5000 0.0000 0.5000  4 Co 2.97, 4 Cu 2.97
4 Gd 0.5000 0.5000 0.0000  4 Co 2.97, 4 Cu 2.97
5 Y 0.0000 0.0000 0.5000  4 Co 2.97, 4 Cu 2.97
6 Y 0.0000 0.5000 0.0000  4 Co 2.97, 4 Cu 2.97
7 Y 0.5000 0.0000 0.0000  4 Co 2.97, 4 Cu 2.97
8 Y 0.5000 0.5000 0.5000  4 Co 2.97, 4 Cu 2.97
9 Co 0.2500 0.2500 0.2500  4 Gd 2.97, 4 Y 2.97
10 Co 0.2500 0.7500 0.7500  4 Gd 2.97, 4 Y 2.97
11 Co 0.7500 0.2500 0.7500  4 Gd 2.97, 4 Y 2.97
12 Co 0.7500 0.7500 0.2500  4 Gd 2.97, 4 Y 2.97
13 Cu 0.2500 0.2500 0.7500  4 Gd 2.97, 4 Y 2.97
14 Cu 0.2500 0.7500 0.2500  4 Gd 2.97, 4 Y 2.97
15 Cu 0.7500 0.2500 0.2500  4 Gd 2.97, 4 Y 2.97
16 Cu 0.7500 0.7500 0.7500  4 Gd 2.97, 4 Y 2.97

no.,raw total energy (eV per formula unit),M_tot (μB per cell)
1,-20.1,0.0
2,-18.7,0.0
3,-14.0,0.0
4,-27.4,0.0
5,-34.8,0.0
6,-9.7,0.0
7,-16.1,3.9
8,-38.5,1.0
9,-16.5,0.0
10,-227.3,0.0
11,-32.4,27.0